1.
AgMo2Br: relaxed, PBE-GGA. Values from VASP.

The structure in Quantum ESPRESSO input format:
```
&SYSTEM
  ibrav = 0, nat = 4, ntyp = 3
/
ATOMIC_SPECIES
Ag 107.87 Ag.upf
Mo 95.94 Mo.upf
Br 79.90 Br.upf
CELL_PARAMETERS angstrom
4.8179 -1.5096 0.0000
4.8179 1.5096 0.0000
-1.0734 0.0000 4.7961
ATOMIC_POSITIONS angstrom
Ag 0.0000 0.0000 0.0000
Mo 1.5441 0.0000 3.6280
Mo 7.0183 0.0000 1.1681
Br 4.2812 0.0000 2.3981
```

Raw formation energy   3.6 eV/f.u.

---

2.
Ag2MoBr: relaxed, PBE-GGA. Values from VASP.

The structure in Quantum ESPRESSO input format:
```
&SYSTEM
  ibrav = 0, nat = 4, ntyp = 3
/
ATOMIC_SPECIES
Ag 107.87 Ag.upf
Mo 95.94 Mo.upf
Br 79.90 Br.upf
CELL_PARAMETERS angstrom
3.0403 0.0000 0.0000
0.0000 3.0403 0.0000
0.0000 0.0000 8.7573
ATOMIC_POSITIONS angstrom
Ag 0.0000 0.0000 0.0000
Ag 1.5201 1.5201 1.9466
Mo 1.5201 1.5201 6.7861
Br 0.0000 0.0000 5.2250
```

Raw formation energy   1.7 eV/f.u.

---

3.
Ag4MoBr: relaxed, PBE-GGA. Values from VASP.

The structure in Quantum ESPRESSO input format:
```
&SYSTEM
  ibrav = 0, nat = 6, ntyp = 3
/
ATOMIC_SPECIES
Ag 107.87 Ag.upf
Mo 95.94 Mo.upf
Br 79.90 Br.upf
CELL_PARAMETERS angstrom
0.0000 3.9604 3.9604
3.9604 0.0000 3.9604
3.9604 3.9604 0.0000
ATOMIC_POSITIONS angstrom
Ag 0.9931 0.9931 0.9931
Ag 2.9672 2.9672 0.9931
Ag 2.9672 0.9931 2.9672
Ag 0.9931 2.9672 2.9672
Mo 3.9604 3.9604 3.9604
Br 5.9405 5.9405 5.9405
```

Raw formation energy   4.0 eV/f.u.

---

4.
Ag2MoBr: relaxed, PBE-GGA. Values from VASP.

The structure in Quantum ESPRESSO input format:
```
&SYSTEM
  ibrav = 0, nat = 4, ntyp = 3
/
ATOMIC_SPECIES
Ag 107.87 Ag.upf
Mo 95.94 Mo.upf
Br 79.90 Br.upf
CELL_PARAMETERS angstrom
-2.2606 2.2606 3.9268
2.2606 -2.2606 3.9268
2.2606 2.2606 -3.9268
ATOMIC_POSITIONS angstrom
Ag 0.0000 0.0000 0.0000
Ag 0.0000 2.2606 1.9634
Mo 0.0000 0.0000 3.9268
Br 2.2606 0.0000 1.9634
```

Raw formation energy   3.5 eV/f.u.

---

5.
AgMo2Br: relaxed, PBE-GGA. Values from VASP.

The structure in Quantum ESPRESSO input format:
```
&SYSTEM
  ibrav = 0, nat = 4, ntyp = 3
/
ATOMIC_SPECIES
Ag 107.87 Ag.upf
Mo 95.94 Mo.upf
Br 79.90 Br.upf
CELL_PARAMETERS angstrom
1.6119 0.9306 8.8611
-1.6119 0.9306 8.8611
0.0000 -1.8613 8.8611
ATOMIC_POSITIONS angstrom
Ag 0.0000 0.0000 0.0000
Mo 0.0000 0.0000 6.5362
Mo 0.0000 0.0000 13.7267
Br 0.0000 0.0000 20.4929
```

Raw formation energy   1.3 eV/f.u.

---

6.
Ag2MoBr: relaxed, PBE-GGA. Values from VASP.

The structure in Quantum ESPRESSO input format:
```
&SYSTEM
  ibrav = 0, nat = 4, ntyp = 3
/
ATOMIC_SPECIES
Ag 107.87 Ag.upf
Mo 95.94 Mo.upf
Br 79.90 Br.upf
CELL_PARAMETERS angstrom
6.3685 -1.4913 0.0000
6.3685 1.4913 0.0000
-1.6572 0.0000 4.2947
ATOMIC_POSITIONS angstrom
Ag 2.3412 0.0000 0.9079
Ag 8.7387 0.0000 3.3869
Mo 6.3685 0.0000 0.0000
Br -0.8286 0.0000 2.1474
```

Raw formation energy   2.6 eV/f.u.

---

7.
Ag2MoBr: relaxed, PBE-GGA. Values from VASP.

The structure in Quantum ESPRESSO input format:
```
&SYSTEM
  ibrav = 0, nat = 4, ntyp = 3
/
ATOMIC_SPECIES
Ag 107.87 Ag.upf
Mo 95.94 Mo.upf
Br 79.90 Br.upf
CELL_PARAMETERS angstrom
2.6736 -4.9183 0.0000
2.6736 4.9183 0.0000
0.0000 0.0000 2.9128
ATOMIC_POSITIONS angstrom
Ag 1.3368 2.4592 0.0000
Ag 1.3368 -2.4592 0.0000
Mo 0.0000 0.0000 1.4564
Br 2.6736 0.0000 1.4564
```

Raw formation energy   2.8 eV/f.u.

---

8.
AgMoBr3: relaxed, PBE-GGA. Values from VASP.

The structure in Quantum ESPRESSO input format:
```
&SYSTEM
  ibrav = 0, nat = 5, ntyp = 3
/
ATOMIC_SPECIES
Ag 107.87 Ag.upf
Mo 95.94 Mo.upf
Br 79.90 Br.upf
CELL_PARAMETERS angstrom
5.3099 0.0000 0.0000
0.0000 5.3099 0.0000
0.0000 0.0000 5.3099
ATOMIC_POSITIONS angstrom
Ag 0.0000 0.0000 0.0000
Mo 2.6550 2.6550 2.6550
Br 0.0000 2.6550 2.6550
Br 2.6550 0.0000 2.6550
Br 2.6550 2.6550 0.0000
```

Raw formation energy   0.7 eV/f.u.

---

9.
AgMo2Br: relaxed, PBE-GGA. Values from VASP.

The structure in Quantum ESPRESSO input format:
```
&SYSTEM
  ibrav = 0, nat = 4, ntyp = 3
/
ATOMIC_SPECIES
Ag 107.87 Ag.upf
Mo 95.94 Mo.upf
Br 79.90 Br.upf
CELL_PARAMETERS angstrom
0.0000 3.2148 3.2148
3.2148 0.0000 3.2148
3.2148 3.2148 0.0000
ATOMIC_POSITIONS angstrom
Ag 0.0000 0.0000 0.0000
Mo 1.6074 1.6074 1.6074
Mo 4.8222 4.8222 4.8222
Br 3.2148 3.2148 3.2148
```

Raw formation energy   4.4 eV/f.u.

---

10.
AgMo2Br: relaxed, PBE-GGA. Values from VASP.

The structure in Quantum ESPRESSO input format:
```
&SYSTEM
  ibrav = 0, nat = 4, ntyp = 3
/
ATOMIC_SPECIES
Ag 107.87 Ag.upf
Mo 95.94 Mo.upf
Br 79.90 Br.upf
CELL_PARAMETERS angstrom
3.0987 0.0000 0.0000
0.0000 3.0987 0.0000
0.0000 0.0000 6.8702
ATOMIC_POSITIONS angstrom
Ag 0.0000 0.0000 0.0000
Mo 1.5494 1.5494 1.8415
Mo 1.5494 1.5494 5.0287
Br 0.0000 0.0000 3.4351
```

Raw formation energy   3.8 eV/f.u.

---

11.
AgMo2Br: relaxed, PBE-GGA. Values from VASP.

The structure in Quantum ESPRESSO input format:
```
&SYSTEM
  ibrav = 0, nat = 4, ntyp = 3
/
ATOMIC_SPECIES
Ag 107.87 Ag.upf
Mo 95.94 Mo.upf
Br 79.90 Br.upf
CELL_PARAMETERS angstrom
-1.9292 1.9292 4.8476
1.9292 -1.9292 4.8476
1.9292 1.9292 -4.8476
ATOMIC_POSITIONS angstrom
Ag 0.0000 0.0000 0.0000
Mo 1.9292 0.0000 2.4238
Mo 0.0000 1.9292 2.4238
Br 0.0000 0.0000 4.8476
```

Raw formation energy   4.4 eV/f.u.

---

12.
AgMoBr: relaxed, PBE-GGA. Values from VASP.

The structure in Quantum ESPRESSO input format:
```
&SYSTEM
  ibrav = 0, nat = 3, ntyp = 3
/
ATOMIC_SPECIES
Ag 107.87 Ag.upf
Mo 95.94 Mo.upf
Br 79.90 Br.upf
CELL_PARAMETERS angstrom
0.0000 3.1403 3.1403
3.1403 0.0000 3.1403
3.1403 3.1403 0.0000
ATOMIC_POSITIONS angstrom
Ag 0.0000 0.0000 0.0000
Mo 1.5702 1.5702 1.5702
Br 3.1403 3.1403 3.1403
```

Raw formation energy   3.1 eV/f.u.

---

13.
AgMoBr: relaxed, PBE-GGA. Values from VASP.

The structure in Quantum ESPRESSO input format:
```
&SYSTEM
  ibrav = 0, nat = 3, ntyp = 3
/
ATOMIC_SPECIES
Ag 107.87 Ag.upf
Mo 95.94 Mo.upf
Br 79.90 Br.upf
CELL_PARAMETERS angstrom
-1.5319 1.5319 6.5136
1.5319 -1.5319 6.5136
1.5319 1.5319 -6.5136
ATOMIC_POSITIONS angstrom
Ag 0.0000 0.0000 0.0000
Mo 0.0000 0.0000 8.4007
Br 0.0000 0.0000 3.4535
```

Raw formation energy   1.7 eV/f.u.

---

14.
AgMo2Br: relaxed, PBE-GGA. Values from VASP.

The structure in Quantum ESPRESSO input format:
```
&SYSTEM
  ibrav = 0, nat = 4, ntyp = 3
/
ATOMIC_SPECIES
Ag 107.87 Ag.upf
Mo 95.94 Mo.upf
Br 79.90 Br.upf
CELL_PARAMETERS angstrom
3.1266 0.0000 0.0000
0.0000 4.6144 0.0000
0.0000 0.0000 4.9191
ATOMIC_POSITIONS angstrom
Ag 0.0000 0.0000 0.0000
Mo 0.0000 2.3072 2.4596
Mo 1.5633 0.0000 2.4596
Br 1.5633 2.3072 0.0000
```

Raw formation energy   4.0 eV/f.u.

---

15.
AgMo3Br: relaxed, PBE-GGA. Values from VASP.

The structure in Quantum ESPRESSO input format:
```
&SYSTEM
  ibrav = 0, nat = 5, ntyp = 3
/
ATOMIC_SPECIES
Ag 107.87 Ag.upf
Mo 95.94 Mo.upf
Br 79.90 Br.upf
CELL_PARAMETERS angstrom
4.6076 0.0000 0.0000
0.0000 4.6076 0.0000
0.0000 0.0000 4.6076
ATOMIC_POSITIONS angstrom
Ag 0.0000 0.0000 0.0000
Mo 0.0000 2.3038 2.3038
Mo 2.3038 0.0000 2.3038
Mo 2.3038 2.3038 0.0000
Br 2.3038 2.3038 2.3038
```

Raw formation energy   8.0 eV/f.u.

---

16.
AgMo2Br: relaxed, PBE-GGA. Values from VASP.

The structure in Quantum ESPRESSO input format:
```
&SYSTEM
  ibrav = 0, nat = 4, ntyp = 3
/
ATOMIC_SPECIES
Ag 107.87 Ag.upf
Mo 95.94 Mo.upf
Br 79.90 Br.upf
CELL_PARAMETERS angstrom
1.5809 -2.3652 0.0000
1.5809 2.3652 0.0000
0.0000 0.0000 9.3970
ATOMIC_POSITIONS angstrom
Ag 0.0000 0.0000 0.0000
Mo 1.5809 0.0000 2.4045
Mo 1.5809 0.0000 6.9926
Br 0.0000 0.0000 4.6985
```

Raw formation energy   3.8 eV/f.u.

---

17.
Ag2MoBr: relaxed, PBE-GGA. Values from VASP.

The structure in Quantum ESPRESSO input format:
```
&SYSTEM
  ibrav = 0, nat = 4, ntyp = 3
/
ATOMIC_SPECIES
Ag 107.87 Ag.upf
Mo 95.94 Mo.upf
Br 79.90 Br.upf
CELL_PARAMETERS angstrom
2.9320 0.0000 0.0000
0.0000 5.3393 0.0000
-0.1600 0.0000 4.9655
ATOMIC_POSITIONS angstrom
Ag 0.6628 0.0000 1.1749
Ag 2.1092 0.0000 3.7906
Mo 1.4660 2.6697 0.0000
Br 1.3860 2.6697 2.4828
```

Raw formation energy   2.9 eV/f.u.

---

18.
Ag2MoBr: relaxed, PBE-GGA. Values from VASP.

The structure in Quantum ESPRESSO input format:
```
&SYSTEM
  ibrav = 0, nat = 4, ntyp = 3
/
ATOMIC_SPECIES
Ag 107.87 Ag.upf
Mo 95.94 Mo.upf
Br 79.90 Br.upf
CELL_PARAMETERS angstrom
4.0006 0.0000 0.0000
0.0000 4.0006 0.0000
0.0000 0.0000 5.0945
ATOMIC_POSITIONS angstrom
Ag 0.0000 2.0003 0.0000
Ag 2.0003 0.0000 0.0000
Mo 0.0000 0.0000 2.5472
Br 2.0003 2.0003 2.5472
```

Raw formation energy   3.3 eV/f.u.

---

19.
Ag2MoBr: relaxed, PBE-GGA. Values from VASP.

The structure in Quantum ESPRESSO input format:
```
&SYSTEM
  ibrav = 0, nat = 8, ntyp = 3
/
ATOMIC_SPECIES
Ag 107.87 Ag.upf
Mo 95.94 Mo.upf
Br 79.90 Br.upf
CELL_PARAMETERS angstrom
-3.9811 3.9811 2.7245
3.9811 -3.9811 2.7245
3.9811 3.9811 -2.7245
ATOMIC_POSITIONS angstrom
Ag 5.9716 1.9668 -0.6811
Ag 1.9668 1.9905 0.6811
Ag -1.9905 2.0143 2.0434
Ag 2.0143 1.9905 3.4056
Mo 0.0000 0.0000 0.0000
Mo 0.0000 3.9811 1.3622
Br 3.9811 0.0000 1.3622
Br 0.0000 0.0000 2.7245
```

Raw formation energy   3.3 eV/f.u.

---

20.
Ag2MoBr: relaxed, PBE-GGA. Values from VASP.

The structure in Quantum ESPRESSO input format:
```
&SYSTEM
  ibrav = 0, nat = 4, ntyp = 3
/
ATOMIC_SPECIES
Ag 107.87 Ag.upf
Mo 95.94 Mo.upf
Br 79.90 Br.upf
CELL_PARAMETERS angstrom
4.5041 -1.4930 0.0000
4.5041 1.4930 0.0000
-0.9106 0.0000 5.5912
ATOMIC_POSITIONS angstrom
Ag 0.0000 0.0000 0.0000
Ag 1.5353 0.0000 4.3839
Mo 6.4268 0.0000 1.6371
Br 3.9119 0.0000 2.5437
```

Raw formation energy   2.5 eV/f.u.

---

21.
Ag2MoBr: relaxed, PBE-GGA. Values from VASP.

The structure in Quantum ESPRESSO input format:
```
&SYSTEM
  ibrav = 0, nat = 4, ntyp = 3
/
ATOMIC_SPECIES
Ag 107.87 Ag.upf
Mo 95.94 Mo.upf
Br 79.90 Br.upf
CELL_PARAMETERS angstrom
1.5823 -2.5132 0.0000
1.5823 2.5132 0.0000
0.0000 0.0000 10.0658
ATOMIC_POSITIONS angstrom
Ag 0.0000 0.0000 0.0000
Ag 1.5823 0.0000 2.3602
Mo 0.0000 0.0000 4.7436
Br 1.5823 0.0000 6.8000
```

Raw formation energy   2.0 eV/f.u.

---

22.
Ag2MoBr: relaxed, PBE-GGA. Values from VASP.

The structure in Quantum ESPRESSO input format:
```
&SYSTEM
  ibrav = 0, nat = 4, ntyp = 3
/
ATOMIC_SPECIES
Ag 107.87 Ag.upf
Mo 95.94 Mo.upf
Br 79.90 Br.upf
CELL_PARAMETERS angstrom
1.5478 0.8936 9.6747
-1.5478 0.8936 9.6747
0.0000 -1.7873 9.6747
ATOMIC_POSITIONS angstrom
Ag 0.0000 0.0000 0.0000
Ag 0.0000 0.0000 7.4205
Mo 0.0000 0.0000 21.6115
Br 0.0000 0.0000 13.7811
```

Raw formation energy   1.3 eV/f.u.

---

23.
AgMo2Br: relaxed, PBE-GGA. Values from VASP.

The structure in Quantum ESPRESSO input format:
```
&SYSTEM
  ibrav = 0, nat = 4, ntyp = 3
/
ATOMIC_SPECIES
Ag 107.87 Ag.upf
Mo 95.94 Mo.upf
Br 79.90 Br.upf
CELL_PARAMETERS angstrom
1.4787 0.8538 9.0194
-1.4787 0.8538 9.0194
0.0000 -1.7075 9.0194
ATOMIC_POSITIONS angstrom
Ag 0.0000 0.0000 0.0000
Mo 0.0000 0.0000 6.6527
Mo 0.0000 0.0000 20.4055
Br 0.0000 0.0000 13.5291
```

Raw formation energy   3.1 eV/f.u.

---

24.
Ag2Mo2Br: relaxed, PBE-GGA. Values from VASP.

The structure in Quantum ESPRESSO input format:
```
&SYSTEM
  ibrav = 0, nat = 10, ntyp = 3
/
ATOMIC_SPECIES
Ag 107.87 Ag.upf
Mo 95.94 Mo.upf
Br 79.90 Br.upf
CELL_PARAMETERS angstrom
6.6992 0.0000 0.0000
0.0000 6.6992 0.0000
0.0000 0.0000 4.3830
ATOMIC_POSITIONS angstrom
Ag 1.1447 2.2049 0.0000
Ag 2.2049 5.5545 0.0000
Ag 4.4944 1.1447 0.0000
Ag 5.5545 4.4944 0.0000
Mo 0.7861 4.1357 2.1915
Mo 2.5635 0.7861 2.1915
Mo 4.1357 5.9132 2.1915
Mo 5.9132 2.5635 2.1915
Br 0.0000 0.0000 2.1915
Br 3.3496 3.3496 2.1915
```

Raw formation energy   3.8 eV/f.u.

---

25.
Ag2MoBr: relaxed, PBE-GGA. Values from VASP.

The structure in Quantum ESPRESSO input format:
```
&SYSTEM
  ibrav = 0, nat = 4, ntyp = 3
/
ATOMIC_SPECIES
Ag 107.87 Ag.upf
Mo 95.94 Mo.upf
Br 79.90 Br.upf
CELL_PARAMETERS angstrom
3.0402 0.0000 0.0000
0.0000 4.7488 0.0000
0.0000 0.0000 5.2761
ATOMIC_POSITIONS angstrom
Ag 0.0000 0.0000 0.0000
Ag 1.5201 2.3744 0.0000
Mo 0.0000 2.3744 2.6381
Br 1.5201 0.0000 2.6381
```

Raw formation energy   2.9 eV/f.u.

---

26.
Ag2MoBr: relaxed, PBE-GGA. Values from VASP.

The structure in Quantum ESPRESSO input format:
```
&SYSTEM
  ibrav = 0, nat = 4, ntyp = 3
/
ATOMIC_SPECIES
Ag 107.87 Ag.upf
Mo 95.94 Mo.upf
Br 79.90 Br.upf
CELL_PARAMETERS angstrom
0.0000 3.4811 3.4811
3.4811 0.0000 3.4811
3.4811 3.4811 0.0000
ATOMIC_POSITIONS angstrom
Ag 1.7406 1.7406 1.7406
Ag 5.2217 5.2217 5.2217
Mo 0.0000 0.0000 0.0000
Br 3.4811 3.4811 3.4811
```

Raw formation energy   4.2 eV/f.u.

---

27.
AgMo6Br13: relaxed, PBE-GGA. Values from VASP.

The structure in Quantum ESPRESSO input format:
```
&SYSTEM
  ibrav = 0, nat = 40, ntyp = 3
/
ATOMIC_SPECIES
Ag 107.87 Ag.upf
Mo 95.94 Mo.upf
Br 79.90 Br.upf
CELL_PARAMETERS angstrom
9.8865 0.0000 0.0000
-2.4588 9.5804 0.0000
-4.7484 -3.3769 13.6532
ATOMIC_POSITIONS angstrom
Ag -1.1073 2.3989 3.5488
Ag 3.7865 3.8046 10.1043
Mo 1.1379 -1.1039 5.7590
Mo 2.1751 3.8201 0.4650
Mo -2.0332 2.3857 12.3969
Mo -0.3539 6.1077 6.4673
Mo 1.4513 -1.6874 8.3270
Mo -0.6222 0.1405 12.3430
Mo 3.3014 6.0631 1.3102
Mo 1.2279 7.8910 5.3261
Mo 3.0332 0.0958 7.1859
Mo 4.7124 3.8179 1.2563
Mo 0.5042 2.3834 13.1882
Mo 1.5414 7.3074 7.8942
Br -0.8659 -0.2972 4.2759
Br 0.0176 2.4356 1.1063
Br -3.1328 0.1434 11.5735
Br -2.8729 6.6922 6.9231
Br -3.3594 3.7435 10.5970
Br -1.0032 3.5982 5.9668
Br 0.8009 6.0605 0.5070
Br -0.6587 6.7024 3.9329
Br -0.1342 -1.7908 10.5139
Br 0.4956 0.6355 7.5837
Br 3.5781 1.5984 0.3979
Br 2.7317 0.6595 4.6424
Br -0.0841 2.0820 10.6640
Br 2.7634 4.1216 2.9892
Br -0.0524 5.5440 9.0108
Br -0.8988 4.6051 13.2553
Br 2.1837 5.5680 6.0695
Br 2.8135 7.9943 3.1393
Br 3.3379 -0.4989 9.7203
Br 1.8783 0.1430 13.1462
Br 3.6825 2.6054 7.6864
Br 6.0386 2.4600 3.0562
Br 5.5521 -0.4886 6.7301
Br 5.8121 6.0602 2.0796
Br 2.6617 3.7679 12.5469
Br 3.5452 6.5007 9.3773
```

Raw formation energy   -12.8 eV/f.u.